[1]
## InSn2Hg (PBE)

Data for a geometry-optimized InSn2Hg structure.

Unit cell a=4.3993 b=4.3993 c=11.9310 alpha=79.38 beta=79.38 gamma=90.00
Closest atoms and distances in Å follow each position.
Fractional coordinates of all 8 atoms:
Sn1 0.8750 0.8781 0.7500  4 Sn 3.09-3.13, 2 Hg 3.27, 2 In 3.28
Sn2 0.3750 0.3719 0.7500  4 Sn 3.09-3.13, 2 Hg 3.27, 2 In 3.28
Hg1 0.0000 0.0000 0.0000  4 In 3.11, 4 Sn 3.27
Sn3 0.1219 0.6250 0.2500  4 Sn 3.09-3.13, 2 Hg 3.27, 2 In 3.28
Hg2 0.7500 0.2500 0.5000  4 In 3.11, 4 Sn 3.27
Sn4 0.6281 0.1250 0.2500  4 Sn 3.09-3.13, 2 Hg 3.27, 2 In 3.28
In1 0.5000 0.5000 0.0000  4 Hg 3.11, 4 Sn 3.28
In2 0.2500 0.7500 0.5000  4 Hg 3.11, 4 Sn 3.28

Calculated values
* ΔH_f (0 K): 50.1 meV per atom
* DOS at the Fermi energy: 0.562 states/eV per atom
* relative energy among the computed polymorphs: 16 meV per atom
* space-group type: I-42d

=====

[2]
## BaSc2InN (PBE)

Data for a geometry-optimized BaSc2InN structure.

Unit cell a=5.2996 b=6.5300 c=5.2996 alpha=90.00 beta=90.00 gamma=90.00
Closest atoms and distances in Å follow each position.
Fractional coordinates of all 5 atoms:
N1 0.5000 0.5000 0.5000  4 Ba 3.75
Sc1 0.0000 0.0000 0.5000  2 In 2.65
Sc2 0.5000 0.0000 0.0000  2 In 2.65
Ba1 0.0000 0.5000 0.0000  2 In 3.27
In1 0.0000 0.0000 0.0000  4 Sc 2.65

Calculated values
* DOS at the Fermi energy: 0.657 states/eV per atom
* space-group type: P4/mmm

=====

[3]
## PrEr3Mg2 (PBE)

Data for a geometry-optimized PrEr3Mg2 structure.

Unit cell a=3.6506 b=3.6506 c=13.0699 alpha=90.00 beta=90.00 gamma=90.00
Closest atoms and distances in Å follow each position.
Fractional coordinates of all 6 atoms:
Er1 0.0000 0.0000 0.6938  4 Mg 3.28, 4 Pr 3.62, 4 Er 3.65
Er2 0.0000 0.0000 0.3062  4 Mg 3.28, 4 Pr 3.62, 4 Er 3.65
Mg1 0.5000 0.5000 0.1510  8 Er 3.25-3.28
Mg2 0.5000 0.5000 0.8490  8 Er 3.25-3.28
Er3 0.0000 0.0000 0.0000  8 Mg 3.25
Pr1 0.5000 0.5000 0.5000  8 Er 3.62, 4 Pr 3.65

Calculated values
* ΔH_f (0 K): -35.7 meV per atom
* DOS at the Fermi energy: 1.313 states/eV per atom
* space-group type: P4/mmm

=====

[4]
## B3SbRh6 (PBE)

Data for a geometry-optimized B3SbRh6 structure.

Unit cell a=3.3118 b=8.8785 c=9.4985 alpha=110.26 beta=90.00 gamma=90.00
Closest atoms and distances in Å follow each position.
Fractional coordinates of all 20 atoms:
Rh1 0.7500 0.0411 0.3899  4 B 2.12-2.20
Rh2 0.7500 0.1031 0.9529  3 B 2.19-2.22
Rh3 0.2500 0.9589 0.6101  4 B 2.12-2.20
B1 0.7500 0.0580 0.1654  6 Rh 2.10-2.22
Rh4 0.7500 0.2683 0.6819  3 B 2.23-2.31
Sb1 0.7500 0.6825 0.0810  7 Rh 2.63-2.78
Rh5 0.7500 0.4264 0.1694  2 B 2.20
Rh6 0.2500 0.7317 0.3181  3 B 2.23-2.31
Rh7 0.7500 0.5978 0.4655  4 B 2.13-2.24
B2 0.2500 0.9420 0.8346  6 Rh 2.10-2.22
Rh8 0.2500 0.4022 0.5345  4 B 2.13-2.24
Rh9 0.2500 0.5736 0.8306  2 B 2.20
B3 0.2500 0.1586 0.5230  6 Rh 2.12-2.23
Rh10 0.2500 0.8969 0.0471  3 B 2.19-2.22
B4 0.7500 0.5235 0.6683  7 Rh 2.14-2.31
Rh11 0.2500 0.2063 0.2499  3 B 2.10-2.25
Rh12 0.7500 0.7937 0.7501  3 B 2.10-2.25
B5 0.2500 0.4765 0.3317  7 Rh 2.14-2.31
Sb2 0.2500 0.3175 0.9190  7 Rh 2.63-2.78
B6 0.7500 0.8414 0.4770  6 Rh 2.12-2.23

Calculated values
* DOS at the Fermi energy: 0.549 states/eV per atom
* space-group type: P2_1/m

=====

[5]
## Cs3Pr3TiS8 (PBE)

Data for a geometry-optimized Cs3Pr3TiS8 structure.

Unit cell a=8.2103 b=8.2113 c=9.5057 alpha=115.60 beta=90.00 gamma=120.00
Closest atoms and distances in Å follow each position.
Fractional coordinates of all 15 atoms:
S1 0.2047 0.4093 0.6716  1 Ti 2.53
Ti1 0.0000 0.0000 0.5000  6 S 2.53
S2 0.2378 0.0331 0.3284  1 Ti 2.53
Pr1 0.0000 0.5000 0.5000  6 S 2.84-2.89
Cs1 0.0000 0.5000 0.0000  6 S 3.48-3.52
Cs2 0.0000 0.0000 0.0000  6 S 3.48-3.52
S3 0.2700 0.5400 0.3100  3 Pr 2.84
Pr2 0.5000 0.5000 0.5000  6 S 2.84-2.89
S4 0.2047 0.9669 0.6716  1 Ti 2.53
Pr3 0.5000 0.0000 0.5000  6 S 2.84-2.89
S5 0.7622 0.9669 0.6716  1 Ti 2.53
S6 0.7953 0.5907 0.3284  1 Ti 2.53
S7 0.7300 0.4600 0.6900  3 Pr 2.84
Cs3 0.5000 0.5000 0.0000  6 S 3.48-3.52
S8 0.7953 0.0331 0.3284  1 Ti 2.53

Calculated values
* space-group type: R-3m

=====

[6]
## RbBeCo2As (PBE)

Data for a geometry-optimized RbBeCo2As structure.

Unit cell a=4.3706 b=5.2013 c=4.3706 alpha=90.00 beta=90.00 gamma=90.00
Closest atoms and distances in Å follow each position.
Fractional coordinates of all 5 atoms:
Co1 0.5000 0.0000 0.0000  2 Be 2.19
Rb1 0.0000 0.5000 0.0000  2 Be 2.60
Be1 0.0000 0.0000 0.0000  4 Co 2.19
Co2 0.0000 0.0000 0.5000  2 Be 2.19
As1 0.5000 0.5000 0.5000  4 Rb 3.09, 8 Co 3.40

Calculated values
* ΔH_f (0 K): 1235.6 meV per atom
* DOS at the Fermi energy: 1.076 states/eV per atom
* space-group type: P4/mmm

=====

[7]
## NdPaC2 (PBE)

Data for a geometry-optimized NdPaC2 structure.

Unit cell a=3.6025 b=6.2072 c=6.1947 alpha=90.00 beta=90.00 gamma=90.00
Closest atoms and distances in Å follow each position.
Fractional coordinates of all 8 atoms:
Pa1 0.7500 0.2500 0.0834  6 C 2.42-2.49
C1 0.2500 0.0043 0.2131  3 Pa 2.42-2.49, 2 Nd 2.69
C2 0.7500 0.5043 0.7869  3 Pa 2.42-2.49, 2 Nd 2.69
C3 0.7500 0.9957 0.7869  3 Pa 2.42-2.49, 2 Nd 2.69
C4 0.2500 0.4957 0.2131  3 Pa 2.42-2.49, 2 Nd 2.69
Pa2 0.2500 0.7500 0.9166  6 C 2.42-2.49
Nd1 0.2500 0.2500 0.5902  6 C 2.69-2.79
Nd2 0.7500 0.7500 0.4098  6 C 2.69-2.79

Calculated values
* ΔH_f (0 K): -195.5 meV per atom
* DOS at the Fermi energy: 0.502 states/eV per atom
* relative energy among the computed polymorphs: 65 meV per atom
* space-group type: Pmmn

=====

[8]
## Ga2Pd3Au (PBE)

Data for a geometry-optimized Ga2Pd3Au structure.

Unit cell a=5.3855 b=5.3952 c=7.7316 alpha=110.42 beta=110.38 gamma=90.00
Closest atoms and distances in Å follow each position.
Fractional coordinates of all 12 atoms:
Ga1 0.1445 0.3626 0.7252  4 Pd 2.46-2.71, 2 Au 2.75
Ga2 0.5807 0.8626 0.7252  4 Pd 2.46-2.71, 2 Au 2.75
Pd1 0.9531 0.1798 0.3596  2 Ga 2.46-2.71
Pd2 0.0469 0.8202 0.6404  2 Ga 2.46-2.71
Au1 0.0000 0.2500 0.0000  2 Pd 2.69, 2 Au 2.70, 4 Ga 2.75
Pd3 0.4065 0.6798 0.3596  2 Ga 2.46-2.71
Pd4 0.5935 0.3202 0.6404  2 Ga 2.46-2.71
Pd5 0.5000 0.2500 0.0000  4 Ga 2.57, 2 Au 2.69, 2 Pd 2.70
Ga3 0.4193 0.1374 0.2748  4 Pd 2.46-2.71, 2 Au 2.75
Pd6 0.5000 0.7500 0.0000  4 Ga 2.57, 2 Au 2.69, 2 Pd 2.70
Ga4 0.8555 0.6374 0.2748  4 Pd 2.46-2.71, 2 Au 2.75
Au2 0.0000 0.7500 0.0000  2 Pd 2.69, 2 Au 2.70, 4 Ga 2.75

Calculated values
* ΔH_f (0 K): -461.5 meV per atom
* DOS at the Fermi energy: 0.269 states/eV per atom
* space-group type: Ibam

=====

Calculated volume in order - 222.9 183.4 174.2 262.0 481.0 99.4 138.5 195.5 Å³/cell
Calculated raw total energy in order - -2.711 -3.893 -3.645 -7.145 -5.515 -3.475 -8.373 -4.613 eV/atom